Density functional theory data (PBE) for an optimized crystal structure of Ac2TeHPd6.

POSCAR file:
```
Ac2TeHPd6
1.0
2.978 1.719 6.442
-2.978 1.719 6.442
0.000 -3.439 6.442
Ac Te H Pd
2 1 1 6
direct
0.235 0.235 0.235
0.765 0.765 0.765
0.500 0.500 0.500
0.000 0.000 0.000
0.222 0.222 0.732
0.222 0.732 0.222
0.268 0.778 0.778
0.732 0.222 0.222
0.778 0.268 0.778
0.778 0.778 0.268
```

Results
Total DFT energy (no corrections) = -0.3868 Ry/atom
Total magnetic moment = 0.00 Bohr magnetons per cell